Computed, not measured: a relaxed structure of Zr12SnB6 at the PBE-GGA level of DFT.

Summary:
Calculated total energy: -309.5 eV per cell
E_form: -783 kJ/mol of formula units

Geometry as CIF:
```
data_Zr12SnB6
_space_group_name_H-M_alt 'I m -3'
_space_group_IT_number 204
_space_group_name_Hall '-I 2 2 3'
_cell_length_a 8.689
_cell_length_b 8.689
_cell_length_c 8.689
_cell_angle_alpha 90.00
_cell_angle_beta 90.00
_cell_angle_gamma 90.00
loop_
_atom_site_label
_atom_site_type_symbol
_atom_site_fract_x
_atom_site_fract_y
_atom_site_fract_z
Zr1 Zr 0.000 0.187 0.303
Sn1 Sn 0.000 0.000 0.000
B1 B 0.000 0.401 0.500
```